Material: Pm2PaMnS6
Method: DFT, PBE-GGA
State: optimized geometry

```
Pm2PaMnS6
1.0
6.7774 0.0000 0.0000
0.0000 6.7774 0.0000
0.0000 0.0000 5.6508
Pm Pa Mn S
2 1 1 6
Direct
0.0000 0.5000 0.0000
0.5000 0.0000 0.0000
0.0000 0.0000 0.6537
0.5000 0.5000 0.8430
0.0000 0.0000 0.1768
0.2623 0.2623 0.7346
0.2623 0.7377 0.7346
0.5000 0.5000 0.2345
0.7377 0.2623 0.7346
0.7377 0.7377 0.7346
```

E_form (uncorrected) in eV per formula unit: -13.2



Material: PmPaMnS4
Method: DFT, PBE-GGA
State: optimized geometry

```
PmPaMnS4
1.0
6.4547 0.0000 0.0000
0.0000 6.0927 0.0000
-2.1950 0.0000 7.3604
Pm Pa Mn S
2 2 2 8
Direct
0.2434 0.2500 0.0597
0.7566 0.7500 0.9403
0.2388 0.2500 0.5568
0.7612 0.7500 0.4432
0.2421 0.7500 0.3179
0.7579 0.2500 0.6821
0.0186 0.5113 0.7446
0.0186 0.9887 0.7446
0.4375 0.7500 0.1167
0.4399 0.7500 0.6109
0.5601 0.2500 0.3891
0.5625 0.2500 0.8833
0.9814 0.0113 0.2554
0.9814 0.4887 0.2554
```

E_form (uncorrected) in eV per formula unit: -9.8



Material: PmPaMnS6
Method: DFT, PBE-GGA
State: optimized geometry

```
PmPaMnS6
1.0
6.4378 0.0000 0.0000
-3.2189 5.5753 0.0000
0.0000 0.0000 5.8892
Pm Pa Mn S
1 1 1 6
Direct
0.0000 0.0000 0.0000
0.6667 0.3333 0.5000
0.3333 0.6667 0.0000
0.0260 0.3820 0.2409
0.0260 0.6440 0.7591
0.3560 0.3820 0.7591
0.3560 0.9740 0.2409
0.6180 0.6440 0.2409
0.6180 0.9740 0.7591
```

E_form (uncorrected) in eV per formula unit: -10.1



Material: PmPa2MnS8
Method: DFT, PBE-GGA
State: optimized geometry

```
PmPa2MnS8
1.0
6.0934 0.0000 0.0000
0.0000 8.0460 0.0000
-0.4220 0.0000 6.3047
Pm Pa Mn S
1 2 1 8
Direct
0.0000 0.0000 0.0000
0.5000 0.2585 0.5000
0.5000 0.7415 0.5000
0.0000 0.5000 0.0000
0.2127 0.2859 0.1669
0.2127 0.7141 0.1669
0.2849 0.5000 0.6658
0.2924 0.0000 0.6648
0.7076 0.0000 0.3352
0.7151 0.5000 0.3342
0.7873 0.2859 0.8331
0.7873 0.7141 0.8331
```

E_form (uncorrected) in eV per formula unit: -16.0